(1)
Entry from Alexandria: an optimized crystal structure of TlBi2Au (PBE-GGA).

Computed properties:
E_form: 5 kJ/mol of formula units
M_tot: 0.0 μB per formula unit
Electronic total energy: -3.337 eV/atom
Density of states at the Fermi level: 2.518 states/eV/f.u.
Crystal system: trigonal

Cell and atoms, written as POSCAR:
```
TlBi2Au
1.0
4.518 0.000 0.000
2.259 3.913 0.000
2.259 1.304 7.050
Tl Bi Au
1 2 1
direct
0.501 0.501 0.496
0.062 0.062 0.815
0.270 0.270 0.189
0.667 0.667 0.999
```

---

(2)
Entry from Alexandria: an optimized crystal structure of GeTeIrN2 (PBE-GGA).

Computed properties:
ΔE to the lowest computed polymorph: 0.5247 eV per atom
Energy relative to the elements, uncorrected: 1.464 eV/atom
M_tot: 0.0 μB per formula unit
Electronic total energy: -5.191 eV/atom
Density of states at the Fermi level: 3.696 states/eV/f.u.
Crystal system: tetragonal

Cell and atoms, written as POSCAR:
```
GeTeIrN2
1.0
-2.571 1.000 2.419
-1.036 -3.503 0.346
5.655 -1.036 6.438
Ge Ir Te N
1 1 1 2
direct
0.000 0.000 0.000
0.500 0.500 0.500
0.000 0.000 0.500
0.000 0.500 0.000
0.500 0.000 0.000
```

---

(3)
Entry from Alexandria: an optimized crystal structure of Pm2PaGeN5 (PBE-GGA).

Computed properties:
Energy relative to the elements, uncorrected: -1.082 eV/atom
M_tot: 0.0 μB per formula unit
Electronic total energy: -8.331 eV/atom
Crystal system: orthorhombic

Cell and atoms, written as POSCAR:
```
Pm2PaGeN5
1.0
-0.312 3.372 0.506
-7.022 -2.709 2.142
3.286 -1.104 9.375
Pm Pa Ge N
4 2 2 10
direct
0.885 0.771 0.812
0.105 0.210 0.679
0.115 0.229 0.312
0.895 0.790 0.179
0.788 0.576 0.515
0.212 0.424 0.015
0.548 0.095 0.949
0.452 0.905 0.449
0.357 0.714 0.005
0.670 0.340 0.874
0.497 0.994 0.782
0.292 0.585 0.661
0.953 0.905 0.546
0.643 0.286 0.505
0.330 0.660 0.374
0.503 0.006 0.282
0.708 0.415 0.161
0.047 0.095 0.046
```

---

(4)
Entry from Alexandria: an optimized crystal structure of AlCdCl2 (PBE-GGA).

Computed properties:
ΔE to the lowest computed polymorph: 0.2108 eV per atom
Energy relative to the elements, uncorrected: -0.474 eV/atom
M_tot: 0.0 μB per formula unit
Electronic total energy: -2.562 eV/atom
Density of states at the Fermi level: 1.628 states/eV/f.u.
Crystal system: orthorhombic

Cell and atoms, written as POSCAR:
```
AlCdCl2
1.0
3.667 0.000 0.000
0.000 3.656 0.000
0.000 0.000 9.599
Cl Al Cd
2 1 1
direct
0.000 0.000 0.074
0.500 0.500 0.353
0.000 0.000 0.298
0.500 0.500 0.775
```

---

(5)
Entry from Alexandria: an optimized crystal structure of ScTl2Pb (PBE-GGA).

Computed properties:
E_form: -25 kJ/mol of formula units
M_tot: 0.0 μB per formula unit
Electronic total energy: -3.759 eV/atom
Density of states at the Fermi level: 3.481 states/eV/f.u.
Crystal system: tetragonal

Cell and atoms, written as POSCAR:
```
ScTl2Pb
1.0
6.109 0.036 0.000
2.761 5.450 0.000
-4.435 -2.743 3.183
Pb Sc Tl
1 1 2
direct
0.250 0.750 0.500
0.750 0.250 0.500
0.000 0.000 0.000
0.500 0.500 0.000
```

---

(6)
Entry from Alexandria: an optimized crystal structure of Ho4Al3Zn (PBE-GGA).

Computed properties:
ΔE to the lowest computed polymorph: 0.0000 eV per atom
E_form: -301 kJ/mol of formula units
M_tot: 0.0 μB per formula unit
Electronic total energy: -4.241 eV/atom
Density of states at the Fermi level: 4.110 states/eV/f.u.
Crystal system: tetragonal

Cell and atoms, written as POSCAR:
```
Ho4Al3Zn
1.0
-3.055 -0.519 1.780
1.588 -2.505 1.995
3.838 10.004 9.509
Zn Ho Al
1 4 3
direct
0.500 0.500 0.000
0.000 0.000 0.879
0.000 0.000 0.121
0.000 0.000 0.374
0.000 0.000 0.626
0.500 0.500 0.248
0.500 0.500 0.500
0.500 0.500 0.752
```